VASP calculation (GGA+U) on an optimized crystal structure of MnPtRhO4.

Computed properties:
D(E_F) ... 3.27 states/eV/f.u.
Uncorrected energy ... -6.58 eV per atom
Total moment ... 8.0 μB per cell
SG ... Imma (74)

Cell and atoms, written as POSCAR:
```
MnPtRhO4
1.0
-2.968 3.027 5.037
2.968 -3.027 5.037
2.968 3.027 -5.037
Mn Pt Rh O
2 2 2 8
Cartesian
0.000 1.513 1.553
2.968 1.513 3.484
1.484 1.513 -2.518
1.484 -1.513 2.518
2.968 0.000 0.000
0.000 0.000 5.037
2.968 -0.184 2.078
2.968 2.843 -2.078
1.668 1.513 0.382
4.267 1.513 0.382
-1.299 1.513 4.654
1.299 1.513 4.654
0.000 0.184 7.114
0.000 3.210 2.959
```